No. 1
TbMg4 PBE optimized geometry; total magnetic moment = 0.0 μB/f.u.
1.0
5.906 0.000 0.000
0.000 5.906 0.000
0.000 0.000 5.906
Mg Tb
4 1
Direct
0.500 0.000 0.500
0.500 0.500 0.000
0.000 0.500 0.500
0.000 0.000 0.000
0.500 0.500 0.500



No. 2
Tb2Mg PBE optimized geometry; ΔE to the lowest computed polymorph = 0.187 eV per atom; total magnetic moment = 0.0 μB/f.u.
1.0
3.720 0.000 0.000
0.000 3.720 0.000
-1.860 -1.860 13.146
Tb Mg
4 2
Direct
0.320 0.820 0.641
0.570 0.570 0.141
0.430 0.430 0.859
0.180 0.680 0.359
0.000 0.000 0.000
0.750 0.250 0.500



No. 3
TbMg4 PBE optimized geometry; total magnetic moment = 0.0 μB/f.u.
1.0
-0.377 7.384 -4.699
3.055 -6.500 -5.016
-8.020 -2.048 2.869
Mg Tb
16 4
Direct
0.651 0.651 0.000
0.000 0.651 0.651
0.651 0.000 0.651
0.250 0.750 0.500
0.349 0.349 0.000
0.500 0.250 0.750
0.750 0.500 0.250
0.211 0.000 0.000
0.349 0.000 0.349
0.000 0.000 0.211
0.500 0.750 0.250
0.000 0.211 0.000
0.750 0.250 0.500
0.789 0.789 0.789
0.250 0.500 0.750
0.000 0.349 0.349
0.000 0.575 0.000
0.575 0.000 0.000
0.425 0.425 0.425
0.000 0.000 0.575



No. 4
TbMg3 PBE optimized geometry; total magnetic moment = 0.0 μB/f.u.
1.0
-3.729 0.421 -0.957
-1.379 -3.154 3.986
2.222 5.362 1.532
Tb Mg
1 3
Direct
0.000 0.917 0.000
0.765 0.181 0.530
0.235 0.651 0.470
0.500 0.417 0.000



No. 5
TbMg3 PBE optimized geometry; total magnetic moment = 0.0 μB/f.u.
1.0
-0.278 3.026 -3.551
3.337 -2.363 -2.275
-3.268 -2.670 -2.020
Mg Tb
3 1
Direct
0.500 0.500 0.917
0.000 0.000 0.917
0.500 0.000 0.417
0.000 0.500 0.417



No. 6
TbMg3 PBE optimized geometry; total magnetic moment = 0.0 μB/f.u.
1.0
-2.041 1.574 4.495
-0.735 -6.387 1.902
4.930 -3.098 3.324
Mg Tb
6 2
Direct
0.750 0.163 0.163
0.250 0.326 0.837
0.750 0.674 0.163
0.250 0.837 0.326
0.750 0.163 0.674
0.250 0.837 0.837
0.250 0.333 0.333
0.750 0.667 0.667



No. 7
TbMg2 PBE optimized geometry; total magnetic moment = 0.0 μB/f.u.
1.0
-0.646 -2.957 4.219
3.409 -3.433 -1.884
1.350 4.989 0.504
Tb Mg
1 2
Direct
0.000 0.000 0.000
0.750 0.250 0.500
0.250 0.750 0.500



No. 8
TbMg2 PBE optimized geometry; total magnetic moment = 0.0 μB/f.u.
1.0
3.439 0.000 0.000
0.000 3.439 0.000
-1.720 -1.720 6.630
Mg Tb
2 1
Direct
0.324 0.324 0.649
0.676 0.676 0.351
0.000 0.000 0.000



No. 9
TbMg3 PBE optimized geometry; total magnetic moment = 0.0 μB/f.u.
1.0
5.165 0.000 0.000
0.000 5.165 0.000
-2.583 -2.583 3.685
Mg Tb
3 1
Direct
0.250 0.750 0.500
0.500 0.500 0.000
0.750 0.250 0.500
0.000 0.000 0.000



No. 10
Tb7Mg3 PBE optimized geometry; total magnetic moment = 0.0 μB/f.u.
1.0
6.839 0.000 0.000
0.000 10.160 0.000
0.000 -5.080 8.799
Tb Mg
14 6
Direct
0.021 0.667 0.333
0.677 0.529 0.471
0.521 0.333 0.667
0.918 0.246 0.123
0.177 0.057 0.529
0.177 0.471 0.529
0.418 0.123 0.246
0.418 0.754 0.877
0.677 0.943 0.471
0.177 0.471 0.943
0.918 0.877 0.754
0.418 0.123 0.877
0.677 0.529 0.057
0.918 0.877 0.123
0.368 0.428 0.214
0.868 0.572 0.786
0.868 0.214 0.786
0.368 0.786 0.572
0.868 0.214 0.428
0.368 0.786 0.214



No. 11
TbMg2 PBE optimized geometry; total magnetic moment = 0.0 μB/f.u.
1.0
-2.194 5.463 1.525
-2.489 -5.036 2.329
6.227 0.401 7.521
Mg Tb
8 4
Direct
0.658 0.829 0.750
0.829 0.658 0.250
0.829 0.171 0.250
0.000 0.000 0.000
0.171 0.829 0.750
0.000 0.000 0.500
0.342 0.171 0.250
0.171 0.342 0.750
0.667 0.333 0.936
0.667 0.333 0.564
0.333 0.667 0.436
0.333 0.667 0.064



No. 12
Tb2Mg3 PBE optimized geometry; ΔE to the lowest computed polymorph = 0.000 eV per atom; total magnetic moment = 0.0 μB/f.u.
1.0
-0.416 -3.250 1.855
1.594 -1.843 -2.871
16.865 2.331 7.865
Mg Tb
6 4
Direct
0.000 0.000 0.704
0.000 0.000 0.090
0.000 0.000 0.500
0.500 0.500 0.000
0.000 0.000 0.296
0.000 0.000 0.910
0.500 0.500 0.397
0.500 0.500 0.803
0.500 0.500 0.603
0.500 0.500 0.197



Here are the calculated E_form numbers, same order: 1.03, 0.14, 0.08, 0.01, -0.06, -0.07, 0.55, -0.04, -0.09, 0.12, -0.07, -0.07 (eV per atom).